The following is a PBE-GGA calculation of UFe4Hg after structural relaxation, from Alexandria.

Summary:
- calculated formation energy (meV/atom) = 138
- uncorrected energy (eV per atom) = -7.44
- DOS at the Fermi energy (states/eV per cell) = 11.1
- total moment (μB/cell) = 5.97

abc: 5.035 5.035 5.035
angles: 60.00 60.00 60.00
Fractional coordinates of all 6 atoms:
U 0.000 0.000 0.000
Fe 0.124 0.625 0.625
Fe 0.625 0.124 0.625
Fe 0.625 0.625 0.124
Fe 0.625 0.625 0.625
Hg 0.250 0.250 0.250